## SiPtO2 (GGA-PBE)

Data for a relaxed structure of SiPtO2.

Computed properties:
E_tot, eV/atom: -6.984
Size of the total moment, μB/f.u.: 0.0
E above lowest polymorph, meV per atom: 0

Unit cell a=9.976 b=9.976 c=9.976 alpha=15.34 beta=15.34 gamma=15.34
Fractional positions:
O  0.865  0.865  0.865
Pt  0.000  0.000  0.000
Si  0.500  0.500  0.500
O  0.135  0.135  0.135